# 1
KZr2TlFe: relaxed, GGA-PBE.

Crystal system ... tetragonal
SG ... P4/mmm (123)
Formation energy ... 0.4597 eV/atom

Unit cell a=4.897 b=4.897 c=5.286 alpha=90.00 beta=90.00 gamma=90.00
Positions (direct):
1 K 0.000 0.000 0.000
2 Zr 0.000 0.500 0.500
3 Zr 0.500 0.000 0.500
4 Tl 0.500 0.500 0.000
5 Fe 0.500 0.500 0.500



# 2
Zr2TiIrI: relaxed, GGA-PBE.

Crystal system ... tetragonal
SG ... P4/mmm (123)
Energy relative to the elements, uncorrected ... 6.31 eV per formula unit

Unit cell a=5.139 b=5.139 c=4.771 alpha=90.00 beta=90.00 gamma=90.00
Positions (direct):
1 Zr 0.000 0.500 0.000
2 Zr 0.500 0.000 0.000
3 Ti 0.000 0.000 0.500
4 Ir 0.500 0.500 0.500
5 I 0.000 0.000 0.000



# 3
BaBePdO5: relaxed, GGA-PBE.

Crystal system ... monoclinic
SG ... C2/c (15)
Energy relative to the elements, uncorrected ... -10.20 eV per formula unit

Unit cell a=5.777 b=5.777 c=7.299 alpha=103.97 beta=103.97 gamma=108.59
Positions (direct):
1 Ba 0.154 0.846 0.750
2 Ba 0.846 0.154 0.250
3 Be 0.209 0.791 0.250
4 Be 0.791 0.209 0.750
5 Pd 0.500 0.500 0.000
6 Pd 0.500 0.500 0.500
7 O 0.100 0.277 0.906
8 O 0.213 0.616 0.392
9 O 0.277 0.100 0.406
10 O 0.384 0.787 0.108
11 O 0.430 0.570 0.750
12 O 0.570 0.430 0.250
13 O 0.616 0.213 0.892
14 O 0.723 0.900 0.594
15 O 0.787 0.384 0.608
16 O 0.900 0.723 0.094



# 4
SiBN3: relaxed, GGA-PBE.

Crystal system ... cubic
SG ... Pm-3m (221)
Energy relative to the elements, uncorrected ... 7.79 eV per formula unit

Unit cell a=3.339 b=3.339 c=3.339 alpha=90.00 beta=90.00 gamma=90.00
Positions (direct):
1 Si 0.000 0.000 0.000
2 B 0.500 0.500 0.500
3 N 0.000 0.500 0.500
4 N 0.500 0.000 0.500
5 N 0.500 0.500 0.000



# 5
LaPt2Rh: relaxed, GGA-PBE.

Crystal system ... trigonal
SG ... R3m (160)
Formation energy ... 0.1435 eV/atom

Unit cell a=2.948 b=2.948 c=29.063 alpha=90.00 beta=90.00 gamma=120.00
Positions (direct):
1 La 0.000 0.000 0.000
2 La 0.333 0.667 0.667
3 La 0.667 0.333 0.333
4 Pt 0.000 0.000 0.242
5 Pt 0.000 0.000 0.497
6 Pt 0.333 0.667 0.164
7 Pt 0.333 0.667 0.909
8 Pt 0.667 0.333 0.576
9 Pt 0.667 0.333 0.831
10 Rh 0.000 0.000 0.756
11 Rh 0.333 0.667 0.423
12 Rh 0.667 0.333 0.089



# 6
CsGa2HgBr6: relaxed, GGA-PBE.

Crystal system ... monoclinic
SG ... C2/c (15)
Energy relative to the elements, uncorrected ... -8.53 eV per formula unit

Unit cell a=10.735 b=10.735 c=8.571 alpha=108.89 beta=108.89 gamma=85.33
Positions (direct):
1 Cs 0.175 0.825 0.750
2 Cs 0.825 0.175 0.250
3 Ga 0.228 0.347 0.749
4 Ga 0.347 0.228 0.249
5 Ga 0.653 0.772 0.751
6 Ga 0.772 0.653 0.251
7 Hg 0.231 0.769 0.250
8 Hg 0.769 0.231 0.750
9 Br 0.064 0.509 0.764
10 Br 0.124 0.133 0.608
11 Br 0.133 0.124 0.108
12 Br 0.356 0.371 0.554
13 Br 0.371 0.356 0.054
14 Br 0.491 0.936 0.736
15 Br 0.509 0.064 0.264
16 Br 0.629 0.644 0.946
17 Br 0.644 0.629 0.446
18 Br 0.867 0.876 0.892
19 Br 0.876 0.867 0.392
20 Br 0.936 0.491 0.236



# 7
Pm5ErTh: relaxed, GGA-PBE.

Crystal system ... monoclinic
SG ... C2/c (15)
Formation energy ... 0.2061 eV/atom

Unit cell a=9.393 b=9.393 c=8.872 alpha=93.69 beta=93.69 gamma=141.57
Positions (direct):
1 Pm 0.011 0.380 0.644
2 Pm 0.147 0.853 0.750
3 Pm 0.239 0.540 0.035
4 Pm 0.380 0.011 0.144
5 Pm 0.460 0.761 0.465
6 Pm 0.540 0.239 0.535
7 Pm 0.620 0.989 0.856
8 Pm 0.761 0.460 0.965
9 Pm 0.853 0.147 0.250
10 Pm 0.989 0.620 0.356
11 Er 0.488 0.512 0.750
12 Er 0.512 0.488 0.250
13 Th 0.000 0.000 0.000
14 Th 0.000 0.000 0.500



# 8
CsLiNi2N: relaxed, GGA-PBE.

Crystal system ... tetragonal
SG ... P4/mmm (123)
Relative energy among the computed polymorphs ... 108 meV per atom
Energy relative to the elements, uncorrected ... 2.70 eV per formula unit

Unit cell a=3.830 b=3.830 c=5.719 alpha=90.00 beta=90.00 gamma=90.00
Positions (direct):
1 Cs 0.000 0.000 0.000
2 Li 0.500 0.500 0.000
3 Ni 0.000 0.500 0.500
4 Ni 0.500 0.000 0.500
5 N 0.000 0.000 0.500